No. 1
# PBE ZrTl2Te, relaxed
# VASP energy   -4.055 eV/atom
# Total magnetization   0.00 μB/cell
data_ZrTl2Te
_chemical_formula_sum 'Zr1 Tl2 Te1'
_cell_length_a 3.503
_cell_length_b 5.626
_cell_length_c 5.820
_cell_angle_alpha 90.00
_cell_angle_beta 107.24
_cell_angle_gamma 90.00
_symmetry_space_group_name_H-M 'P 1 2/m 1'
_symmetry_Int_Tables_number 10
_symmetry_space_group_name_Hall '-P 2y'
loop_
_atom_site_label
_atom_site_fract_x
_atom_site_fract_y
_atom_site_fract_z
Zr1 0.000 0.000 0.000
Tl1 0.396 0.500 0.232
Te1 0.000 0.000 0.500

No. 2
# PBE ZrTlTe2, relaxed
# VASP energy   -4.447 eV/atom
# Total magnetization   0.00 μB/cell
data_ZrTlTe2
_chemical_formula_sum 'Zr2 Tl2 Te4'
_cell_length_a 6.937
_cell_length_b 8.126
_cell_length_c 3.769
_cell_angle_alpha 90.00
_cell_angle_beta 90.00
_cell_angle_gamma 90.00
_symmetry_space_group_name_H-M 'C m m m'
_symmetry_Int_Tables_number 65
_symmetry_space_group_name_Hall '-C 2 2'
loop_
_atom_site_label
_atom_site_fract_x
_atom_site_fract_y
_atom_site_fract_z
Zr1 0.000 0.000 0.000
Tl1 0.000 0.500 0.000
Te1 0.250 0.250 0.500

No. 3
# PBE ZrTlTe2, relaxed
# VASP energy   -4.706 eV/atom
# Total magnetization   0.00 μB/cell
data_ZrTlTe2
_chemical_formula_sum 'Zr4 Tl4 Te8'
_cell_length_a 8.010
_cell_length_b 11.791
_cell_length_c 5.376
_cell_angle_alpha 90.00
_cell_angle_beta 90.00
_cell_angle_gamma 90.00
_symmetry_space_group_name_H-M 'P n a 21'
_symmetry_Int_Tables_number 33
_symmetry_space_group_name_Hall 'P 2c -2n'
loop_
_atom_site_label
_atom_site_fract_x
_atom_site_fract_y
_atom_site_fract_z
Zr1 0.242 0.017 0.000
Tl1 0.235 0.275 0.781
Te1 0.018 0.857 0.771
Te2 0.108 0.535 0.001